## 1
{
  "formula": "CuSiB3",
  "functional": "PBE-GGA",
  "state": "optimized geometry",
  "space_group": "Pm-3m, No. 221",
  "lattice": [[3.9620, 0.0000, 0.0000], [0.0000, 3.9620, 0.0000], [0.0000, 0.0000, 3.9620]],
  "species": ["B", "B", "B", "Cu", "Si"],
  "frac_coords": [[0.0000, 0.0000, 0.5000], [0.5000, 0.0000, 0.0000], [0.0000, 0.5000, 0.0000], [0.5000, 0.5000, 0.5000], [0.0000, 0.0000, 0.0000]]
}

## 2
{
  "formula": "CuSiB3",
  "functional": "PBE-GGA",
  "state": "optimized geometry",
  "space_group": "Pm-3m, No. 221",
  "lattice": [[-1.3438, -2.9403, 2.1616], [1.1206, -2.5247, -2.7375], [3.4731, -0.3231, 1.7196]],
  "species": ["Cu", "Si", "B", "B", "B"],
  "frac_coords": [[0.0000, 0.0000, 0.0000], [0.5000, 0.5000, 0.5000], [0.5000, 0.0000, 0.0000], [0.0000, 0.0000, 0.5000], [0.0000, 0.5000, 0.0000]]
}

Short version: 1, 2, most stable first.

## 1
{
  "formula": "Cu3SnB",
  "functional": "PBE-GGA",
  "state": "optimized geometry",
  "space_group": "Pm-3m, No. 221",
  "lattice": [[4.8354, 0.0000, 0.0000], [0.0000, 4.8354, 0.0000], [0.0000, 0.0000, 4.8354]],
  "species": ["Cu", "Cu", "Cu", "B", "Sn"],
  "frac_coords": [[0.0000, 0.0000, 0.5000], [0.5000, 0.0000, 0.0000], [0.0000, 0.5000, 0.0000], [0.5000, 0.5000, 0.5000], [0.0000, 0.0000, 0.0000]]
}

## 2
{
  "formula": "Cu3SnB",
  "functional": "PBE-GGA",
  "state": "optimized geometry",
  "space_group": "Pm-3m, No. 221",
  "lattice": [[-3.1519, 0.4262, -2.6196], [2.5847, -0.4305, -3.1799], [-0.6026, -4.0757, 0.0619]],
  "species": ["Cu", "Cu", "Cu", "Sn", "B"],
  "frac_coords": [[0.0000, 0.5000, 0.0000], [0.5000, 0.0000, 0.0000], [0.0000, 0.0000, 0.5000], [0.5000, 0.5000, 0.5000], [0.0000, 0.0000, 0.0000]]
}

Short version: 2, 1, most stable first.